No. 1
# DyPHOs PBE optimized geometry
data_DyPHOs
_cell_length_a 4.0238
_cell_length_b 4.0238
_cell_length_c 7.1380
_cell_angle_alpha 90.00
_cell_angle_beta 90.00
_cell_angle_gamma 90.00
_symmetry_space_group_name_H-M 'P 4/n m m'
_symmetry_Int_Tables_number 129
loop_
_symmetry_equiv_pos_as_xyz
'x,y,z'
'-x,-y,-z'
'-y+1/2,x,z'
'y+1/2,-x,-z'
'-x+1/2,-y+1/2,z'
'x+1/2,y+1/2,-z'
'y,-x+1/2,z'
'-y,x+1/2,-z'
'x+1/2,-y,-z'
'-x+1/2,y,z'
'-y,-x,-z'
'y,x,z'
'-x,y+1/2,-z'
'x,-y+1/2,z'
'y+1/2,x+1/2,-z'
'-y+1/2,-x+1/2,z'
loop_
_atom_site_label
_atom_site_type_symbol
_atom_site_fract_x
_atom_site_fract_y
_atom_site_fract_z
Dy1 Dy 0.2500 0.2500 0.1620
P1 P 0.2500 0.2500 0.6740
H1 H 0.2500 0.7500 0.0000
Os1 Os 0.2500 0.7500 0.5000
# * energy: -55.45 eV per cell
# * crystal system: tetragonal

---

No. 2
# DySiHOs PBE optimized geometry
data_DySiHOs
_cell_length_a 4.0801
_cell_length_b 4.0801
_cell_length_c 7.1370
_cell_angle_alpha 90.00
_cell_angle_beta 90.00
_cell_angle_gamma 90.00
_symmetry_space_group_name_H-M 'P 4/n m m'
_symmetry_Int_Tables_number 129
loop_
_symmetry_equiv_pos_as_xyz
'x,y,z'
'-x,-y,-z'
'-y+1/2,x,z'
'y+1/2,-x,-z'
'-x+1/2,-y+1/2,z'
'x+1/2,y+1/2,-z'
'y,-x+1/2,z'
'-y,x+1/2,-z'
'x+1/2,-y,-z'
'-x+1/2,y,z'
'-y,-x,-z'
'y,x,z'
'-x,y+1/2,-z'
'x,-y+1/2,z'
'y+1/2,x+1/2,-z'
'-y+1/2,-x+1/2,z'
loop_
_atom_site_label
_atom_site_type_symbol
_atom_site_fract_x
_atom_site_fract_y
_atom_site_fract_z
Dy1 Dy 0.2500 0.2500 0.1576
Si1 Si 0.2500 0.2500 0.6777
H1 H 0.2500 0.7500 0.0000
Os1 Os 0.2500 0.7500 0.5000
# * energy: -54.50 eV per cell
# * crystal system: tetragonal

---

No. 3
# DyPHRu PBE optimized geometry
data_DyPHRu
_cell_length_a 3.9924
_cell_length_b 3.9924
_cell_length_c 7.1717
_cell_angle_alpha 90.00
_cell_angle_beta 90.00
_cell_angle_gamma 90.00
_symmetry_space_group_name_H-M 'P 4/n m m'
_symmetry_Int_Tables_number 129
loop_
_symmetry_equiv_pos_as_xyz
'x,y,z'
'-x,-y,-z'
'-y+1/2,x,z'
'y+1/2,-x,-z'
'-x+1/2,-y+1/2,z'
'x+1/2,y+1/2,-z'
'y,-x+1/2,z'
'-y,x+1/2,-z'
'x+1/2,-y,-z'
'-x+1/2,y,z'
'-y,-x,-z'
'y,x,z'
'-x,y+1/2,-z'
'x,-y+1/2,z'
'y+1/2,x+1/2,-z'
'-y+1/2,-x+1/2,z'
loop_
_atom_site_label
_atom_site_type_symbol
_atom_site_fract_x
_atom_site_fract_y
_atom_site_fract_z
Dy1 Dy 0.2500 0.2500 0.1622
P1 P 0.2500 0.2500 0.6724
H1 H 0.2500 0.7500 0.0000
Ru1 Ru 0.2500 0.7500 0.5000
# * energy: -52.92 eV per cell
# * crystal system: tetragonal

---

No. 4
# DyPH2Ru PBE optimized geometry
data_DyPH2Ru
_cell_length_a 3.8240
_cell_length_b 9.9844
_cell_length_c 5.9839
_cell_angle_alpha 90.00
_cell_angle_beta 90.00
_cell_angle_gamma 90.00
_symmetry_space_group_name_H-M 'C m c m'
_symmetry_Int_Tables_number 63
_symmetry_space_group_name_Hall '-C 2c 2'
loop_
_atom_site_label
_atom_site_type_symbol
_atom_site_fract_x
_atom_site_fract_y
_atom_site_fract_z
Dy1 Dy 0.0000 0.2144 0.2500
P1 P 0.0000 0.0678 0.7500
H1 H 0.0000 0.3305 0.5631
Ru1 Ru 0.0000 0.5000 0.0000
# * energy: -118.10 eV per cell
# * crystal system: orthorhombic